First-principles (GGA-PBE) data for a geometry-optimized Nd3Cd3PdAu2 structure, as listed in the Open Quantum Materials Database.

```
Nd3Cd3PdAu2
1.0
-0.722 6.991 3.460
-6.395 -4.051 -2.018
-0.007 -1.800 3.635
Nd Cd Pd Au
3 3 1 2
direct
0.404 0.000 0.000 Nd
0.596 0.596 0.000 Nd
0.000 0.404 0.000 Nd
0.000 0.752 0.500 Cd
0.752 0.000 0.500 Cd
0.248 0.248 0.500 Cd
0.000 0.000 0.000 Pd
0.667 0.333 0.500 Au
0.333 0.667 0.500 Au
```

Computed properties:
Symmetry: P-62m (189)
Formation enthalpy at 0 K (meV/atom): -665
ρ (g cm⁻³): 9.8

First-principles (GGA-PBE) data for a geometry-optimized BeAlFe structure, as listed in the Open Quantum Materials Database.

```
BeAlFe
1.0
0.000 2.707 2.707
2.707 0.000 2.707
2.707 2.707 0.000
Fe Be Al
1 1 1
direct
0.750 0.750 0.750 Fe
0.250 0.250 0.250 Be
0.000 0.000 0.000 Al
```

Computed properties:
Symmetry: F-43m (216)
Polymorph energy (0 for the lowest one) (eV per atom): 0.729
ρ (g cm⁻³): 3.8